DFT (PBE) results for an optimized crystal structure of CoB4Ir.

Unit cell a=4.351 b=4.351 c=4.351 alpha=139.27 beta=105.02 gamma=89.03
Fractional positions:
Co (0.000, 0.000, 0.000)
B (0.074, 0.738, 0.336)
B (0.402, 0.738, 0.664)
B (0.598, 0.262, 0.336)
B (0.926, 0.262, 0.664)
Ir (0.500, 0.500, 0.000)

---

DFT (PBE) results for an optimized crystal structure of CoB4Ir.

Unit cell a=3.036 b=3.036 c=6.186 alpha=90.00 beta=90.00 gamma=120.00
Fractional positions:
Co (0.000, 0.000, 0.000)
B (0.333, 0.667, 0.229)
B (0.333, 0.667, 0.771)
B (0.667, 0.333, 0.229)
B (0.667, 0.333, 0.771)
Ir (0.000, 0.000, 0.500)

---

DFT (PBE) results for an optimized crystal structure of CoBIr2.

Unit cell a=4.110 b=4.110 c=4.110 alpha=60.00 beta=60.00 gamma=60.00
Fractional positions:
Co (0.000, 0.000, 0.000)
B (0.750, 0.750, 0.750)
Ir (0.250, 0.250, 0.250)
Ir (0.500, 0.500, 0.500)

---

DFT (PBE) results for an optimized crystal structure of Mg2CoB2Ir5.

Unit cell a=9.441 b=9.441 c=2.906 alpha=90.00 beta=90.00 gamma=90.00
Fractional positions:
Mg (0.177, 0.323, 0.000)
Mg (0.323, 0.823, 0.000)
Mg (0.677, 0.177, 0.000)
Mg (0.823, 0.677, 0.000)
Co (0.000, 0.000, 0.000)
Co (0.500, 0.500, 0.000)
B (0.127, 0.627, 0.000)
B (0.373, 0.127, 0.000)
B (0.627, 0.873, 0.000)
B (0.873, 0.373, 0.000)
Ir (0.000, 0.500, 0.500)
Ir (0.071, 0.786, 0.500)
Ir (0.214, 0.071, 0.500)
Ir (0.286, 0.571, 0.500)
Ir (0.429, 0.286, 0.500)
Ir (0.500, 0.000, 0.500)
Ir (0.571, 0.714, 0.500)
Ir (0.714, 0.429, 0.500)
Ir (0.786, 0.929, 0.500)
Ir (0.929, 0.214, 0.500)

---

DFT (PBE) results for an optimized crystal structure of Y2CoB2IrN2.

Unit cell a=3.585 b=3.585 c=7.551 alpha=90.00 beta=90.00 gamma=90.00
Fractional positions:
Y (0.000, 0.500, 0.163)
Y (0.500, 0.000, 0.837)
Co (0.000, 0.000, 0.500)
B (0.000, 0.500, 0.656)
B (0.500, 0.000, 0.344)
Ir (0.500, 0.500, 0.500)
N (0.000, 0.500, 0.855)
N (0.500, 0.000, 0.145)

---

DFT (PBE) results for an optimized crystal structure of CoNiBIr.

Unit cell a=3.975 b=3.975 c=3.975 alpha=60.00 beta=60.00 gamma=60.00
Fractional positions:
Co (0.000, 0.000, 0.000)
Ni (0.500, 0.500, 0.500)
B (0.750, 0.750, 0.750)
Ir (0.250, 0.250, 0.250)

---

DFT (PBE) results for an optimized crystal structure of CoNiBIr.

Unit cell a=3.921 b=3.921 c=3.921 alpha=60.00 beta=60.00 gamma=60.00
Fractional positions:
Co (0.000, 0.000, 0.000)
Ni (0.250, 0.250, 0.250)
B (0.750, 0.750, 0.750)
Ir (0.500, 0.500, 0.500)

---

DFT (PBE) results for an optimized crystal structure of CoBIrPd.

Unit cell a=4.102 b=4.102 c=4.102 alpha=60.00 beta=60.00 gamma=60.00
Fractional positions:
Co (0.000, 0.000, 0.000)
B (0.750, 0.750, 0.750)
Ir (0.500, 0.500, 0.500)
Pd (0.250, 0.250, 0.250)

---

DFT (PBE) results for an optimized crystal structure of CoBIrPt.

Unit cell a=4.146 b=4.146 c=4.146 alpha=60.00 beta=60.00 gamma=60.00
Fractional positions:
Co (0.000, 0.000, 0.000)
B (0.750, 0.750, 0.750)
Ir (0.500, 0.500, 0.500)
Pt (0.250, 0.250, 0.250)

---

DFT (PBE) results for an optimized crystal structure of ScCoB2Ir.

Unit cell a=4.998 b=4.998 c=4.998 alpha=137.38 beta=137.38 gamma=61.85
Fractional positions:
Sc (0.000, 0.000, 0.000)
Co (0.250, 0.750, 0.500)
B (0.385, 0.385, 0.000)
B (0.615, 0.615, 0.000)
Ir (0.750, 0.250, 0.500)

---

DFT (PBE) results for an optimized crystal structure of Tm2Co4B4Ir.

Unit cell a=7.221 b=6.051 c=5.313 alpha=78.61 beta=55.23 gamma=46.16
Fractional positions:
Tm (0.144, 0.144, 0.856)
Tm (0.856, 0.856, 0.144)
Co (0.000, 0.000, 0.500)
Co (0.250, 0.250, 0.250)
Co (0.500, 0.500, 0.000)
Co (0.750, 0.750, 0.750)
B (0.201, 0.533, 0.467)
B (0.467, 0.799, 0.201)
B (0.533, 0.201, 0.799)
B (0.799, 0.467, 0.533)
Ir (0.500, 0.500, 0.500)

---

DFT (PBE) results for an optimized crystal structure of CoBIrW.

Unit cell a=4.149 b=4.149 c=4.149 alpha=60.00 beta=60.00 gamma=60.00
Fractional positions:
Co (0.000, 0.000, 0.000)
B (0.750, 0.750, 0.750)
Ir (0.250, 0.250, 0.250)
W (0.500, 0.500, 0.500)

---

DFT (PBE) results for an optimized crystal structure of CoBIrW.

Unit cell a=4.140 b=4.140 c=4.140 alpha=60.00 beta=60.00 gamma=60.00
Fractional positions:
Co (0.000, 0.000, 0.000)
B (0.750, 0.750, 0.750)
Ir (0.500, 0.500, 0.500)
W (0.250, 0.250, 0.250)

---

DFT (PBE) results for an optimized crystal structure of YCoBIr.

Unit cell a=4.328 b=4.328 c=4.328 alpha=60.00 beta=60.00 gamma=60.00
Fractional positions:
Y (0.000, 0.000, 0.000)
Co (0.750, 0.750, 0.750)
B (0.500, 0.500, 0.500)
Ir (0.250, 0.250, 0.250)

---

DFT (PBE) results for an optimized crystal structure of YCoBIr.

Unit cell a=4.420 b=4.420 c=4.420 alpha=60.00 beta=60.00 gamma=60.00
Fractional positions:
Y (0.000, 0.000, 0.000)
Co (0.500, 0.500, 0.500)
B (0.250, 0.250, 0.250)
Ir (0.750, 0.750, 0.750)

---

DFT (PBE) results for an optimized crystal structure of ZrCoBIr.

Unit cell a=4.317 b=4.317 c=4.317 alpha=60.00 beta=60.00 gamma=60.00
Fractional positions:
Zr (0.000, 0.000, 0.000)
Co (0.500, 0.500, 0.500)
B (0.250, 0.250, 0.250)
Ir (0.750, 0.750, 0.750)

---

DFT (PBE) results for an optimized crystal structure of ZrCoBIr.

Unit cell a=4.247 b=4.247 c=4.247 alpha=60.00 beta=60.00 gamma=60.00
Fractional positions:
Zr (0.000, 0.000, 0.000)
Co (0.750, 0.750, 0.750)
B (0.500, 0.500, 0.500)
Ir (0.250, 0.250, 0.250)

---

DFT (PBE) results for an optimized crystal structure of KCoB4.

Unit cell a=5.283 b=5.283 c=5.283 alpha=153.44 beta=112.59 gamma=73.83
Fractional positions:
K (0.000, 0.000, 0.000)
Co (0.500, 0.500, 0.000)
B (0.143, 0.786, 0.357)
B (0.428, 0.786, 0.643)
B (0.572, 0.214, 0.357)
B (0.857, 0.214, 0.643)

---

DFT (PBE) results for an optimized crystal structure of KCoB4.

Unit cell a=3.025 b=3.025 c=7.789 alpha=90.00 beta=90.00 gamma=120.00
Fractional positions:
K (0.000, 0.000, 0.000)
Co (0.000, 0.000, 0.500)
B (0.333, 0.667, 0.323)
B (0.333, 0.667, 0.677)
B (0.667, 0.333, 0.323)
B (0.667, 0.333, 0.677)

---

DFT (PBE) results for an optimized crystal structure of La3CoB4.

Unit cell a=3.936 b=4.154 c=9.557 alpha=96.49 beta=101.32 gamma=90.37
Fractional positions:
La (0.000, 0.000, 0.000)
La (0.174, 0.720, 0.345)
La (0.826, 0.280, 0.655)
Co (0.500, 0.500, 0.000)
B (0.325, 0.777, 0.656)
B (0.406, 0.675, 0.811)
B (0.594, 0.325, 0.189)
B (0.675, 0.223, 0.344)

---

no.,calculated total energy (eV per cell)
1,-41.19
2,-41.06
3,-28.67
4,-143.13
5,-68.03
6,-25.97
7,-27.42
8,-25.63
9,-26.31
10,-38.91
11,-79.46
12,-33.49
13,-33.38
14,-27.68
15,-27.04
16,-29.94
17,-30.90
18,-31.45
19,-33.93
20,-48.91